[1]
{"formula": "ZrBeRe3", "functional": "PBE", "state": "optimized geometry", "lattice_angstrom": [[4.7800, 0.0000, 0.0000], [0.0000, 4.7800, 0.0000], [0.0000, 0.0000, 4.7800]], "species": ["Be", "Re", "Zr", "Re", "Re"], "frac_coords": [[0.5000, 0.5000, 0.5000], [0.5000, 0.0000, 0.0000], [0.0000, 0.0000, 0.0000], [0.0000, 0.0000, 0.5000], [0.0000, 0.5000, 0.0000]], "dft_energy_ev_per_fu": -34.95, "polymorph_energy_ev_per_atom": 2.535, "density_g_cm3": 10.0, "delta_e_f_ev_per_atom": 2.934}

---

[2]
{"formula": "Zr4BeRe", "functional": "PBE", "state": "optimized geometry", "lattice_angstrom": [[-2.9063, 0.0189, 4.7268], [-5.5105, 0.6373, -0.1338], [-3.3178, -4.2730, 1.2340]], "species": ["Zr", "Be", "Zr", "Zr", "Zr", "Re"], "frac_coords": [[0.3731, 0.8807, 0.3731], [0.7500, 0.7500, 0.7500], [0.3731, 0.3731, 0.8807], [0.3731, 0.3731, 0.3731], [0.8807, 0.3731, 0.3731], [0.0000, 0.0000, 0.0000]], "dft_energy_ev_per_fu": -45.55, "density_g_cm3": 7.7, "delta_e_f_ev_per_atom": 0.803}